DFT (PBE) results for a relaxed BaEuP crystal.

a = 7.4343 Å, b = 7.4343 Å, c = 7.4343 Å
α = 90.00°, β = 90.00°, γ = 90.00°
Element x y z (fractional)
Ba (0.0000, 0.0000, 0.0000)
Ba (0.0000, 0.5000, 0.5000)
Ba (0.5000, 0.0000, 0.5000)
Ba (0.5000, 0.5000, 0.0000)
Eu (0.0000, 0.0000, 0.5000)
Eu (0.0000, 0.5000, 0.0000)
Eu (0.5000, 0.0000, 0.0000)
Eu (0.5000, 0.5000, 0.5000)
P (0.2500, 0.2500, 0.2500)
P (0.2500, 0.7500, 0.7500)
P (0.7500, 0.2500, 0.7500)
P (0.7500, 0.7500, 0.2500)

Calculated values
Calculated total energy ... -6.6469 eV/atom
Excess energy over the best structure of this formula in the dataset ... 0.0 meV/atom
ΔE_f ... -0.78 eV/atom
Space group ... No. 216
Size of the total moment ... 7.980 μB/f.u.